First-principles (meta-GGA SCAN) data for Ta4SiNi at its PBEsol-relaxed geometry, as listed in Alexandria.

Summary:
Total energy, eV/cell: -1153.95
ΔE_f (raw), eV per atom: 0.672
Total moment, μB per formula unit: 0.0

Lattice parameters (Å, degrees): 7.4645 7.4645 7.4645 90.00 90.00 90.00
With the nearest neighbours (Å) after each atom.
Space group F-43m (No. 216)
Inequivalent atoms, fractional coordinates:
Ta 0.1254 0.1254 0.1254 [16 per cell]  6 Ta 2.63-2.65
Si 0.0000 0.0000 0.5000 [4 per cell]  12 Ta 3.09, 4 Ni 3.23
Ni 0.2500 0.2500 0.7500 [4 per cell]  12 Ta 3.10, 4 Si 3.23